[1]
Nd8AgPd2 | GGA-PBE | optimized geometry

a b c (Å): 5.3027 6.9487 9.7265
angles (deg): 107.80 105.82 90.00
Element x y z (fractional)
Nd1 0.2002 0.3429 0.4005
Nd2 0.9720 0.2189 0.9440
Nd3 0.6755 0.0068 0.3510
Nd4 0.0280 0.7811 0.0560
Nd5 0.5937 0.4770 0.1874
Nd6 0.3245 0.9932 0.6490
Nd7 0.7998 0.6571 0.5995
Nd8 0.4063 0.5230 0.8126
Pd1 0.8283 0.2627 0.6566
Pd2 0.1717 0.7373 0.3434
Ag1 0.5000 0.0000 0.0000

Values from the calculation:
SG = C2/m, No. 12
magnetization = 0.000 μB/atom
energy of formation from the pure elements = -309 meV/atom
calculated total energy = -4.98 eV per atom


[2]
Nd2AgPd3 | GGA-PBE | optimized geometry

a b c (Å): 3.9469 7.4818 17.6271
angles (deg): 90.00 90.00 90.00
Element x y z (fractional)
Pd1 0.2500 0.7155 0.1908
Pd2 0.7500 0.7280 0.4464
Pd3 0.2500 0.5921 0.3438
Pd4 0.2500 0.0921 0.1562
Pd5 0.7500 0.4079 0.6562
Pd6 0.2500 0.2720 0.5536
Pd7 0.7500 0.2280 0.0536
Pd8 0.7500 0.9079 0.8438
Pd9 0.7500 0.7845 0.6908
Pd10 0.2500 0.2155 0.3092
Pd11 0.2500 0.7720 0.9464
Pd12 0.7500 0.2845 0.8092
Ag1 0.7500 0.5097 0.9385
Ag2 0.2500 0.4903 0.0615
Ag3 0.7500 0.0097 0.5615
Ag4 0.2500 0.9903 0.4385
Nd1 0.2500 0.1591 0.9294
Nd2 0.7500 0.3409 0.4294
Nd3 0.7500 0.8409 0.0706
Nd4 0.2500 0.6591 0.5706
Nd5 0.2500 0.5946 0.7913
Nd6 0.7500 0.4054 0.2087
Nd7 0.2500 0.0946 0.7087
Nd8 0.7500 0.9054 0.2913

Values from the calculation:
SG = Pnma, No. 62
magnetization = 0.000 μB/atom
energy of formation from the pure elements = -666 meV/atom
calculated total energy = -5.33 eV per atom


[3]
Nd4AgPd | GGA-PBE | optimized geometry

a b c (Å): 9.9253 9.9253 9.9253
angles (deg): 60.00 60.00 60.00
Element x y z (fractional)
Nd1 0.5598 0.5598 0.9402
Nd2 0.3931 0.3931 0.8207
Nd3 0.3931 0.8207 0.3931
Nd4 0.1851 0.8149 0.1851
Nd5 0.8149 0.1851 0.1851
Nd6 0.5598 0.9402 0.5598
Nd7 0.9402 0.5598 0.5598
Nd8 0.9402 0.9402 0.5598
Nd9 0.9402 0.5598 0.9402
Nd10 0.8149 0.1851 0.8149
Nd11 0.1851 0.8149 0.8149
Nd12 0.1851 0.1851 0.8149
Nd13 0.3931 0.3931 0.3931
Nd14 0.8207 0.3931 0.3931
Nd15 0.8149 0.8149 0.1851
Nd16 0.5598 0.9402 0.9402
Pd1 0.6046 0.1863 0.6046
Pd2 0.1863 0.6046 0.6046
Pd3 0.6046 0.6046 0.6046
Pd4 0.6046 0.6046 0.1863
Ag1 0.1668 0.4997 0.1668
Ag2 0.1668 0.1668 0.1668
Ag3 0.4997 0.1668 0.1668
Ag4 0.1668 0.1668 0.4997

Values from the calculation:
SG = F-43m, No. 216
magnetization = 0.000 μB/atom
energy of formation from the pure elements = -355 meV/atom
calculated total energy = -4.87 eV per atom


[4]
Nd4AgPd3 | GGA-PBE | optimized geometry

a b c (Å): 3.8957 4.7469 10.9544
angles (deg): 90.00 90.00 90.00
Element x y z (fractional)
Ag1 0.5000 0.5000 0.0796
Pd1 0.0000 0.5000 0.5855
Pd2 0.0000 0.0000 0.4158
Pd3 0.5000 0.0000 0.9166
Nd1 0.0000 0.0000 0.1401
Nd2 0.5000 0.0000 0.6371
Nd3 0.5000 0.5000 0.3708
Nd4 0.0000 0.5000 0.8544

Values from the calculation:
SG = Pmm2, No. 25
magnetization = 0.000 μB/atom
energy of formation from the pure elements = -662 meV/atom
calculated total energy = -5.35 eV per atom


[5]
Nd6AgPd5 | GGA-PBE | optimized geometry

a b c (Å): 7.3500 7.3892 7.3093
angles (deg): 59.64 80.53 71.00
Element x y z (fractional)
Pd1 0.5000 0.5000 0.0000
Pd2 0.0000 0.6700 0.6600
Pd3 0.5000 0.1576 0.6848
Pd4 0.5000 0.8424 0.3152
Pd5 0.0000 0.3300 0.3400
Nd1 0.2482 0.2667 0.0000
Nd2 0.7518 0.7333 0.0000
Nd3 0.2615 0.9120 0.6525
Nd4 0.7385 0.0880 0.3475
Nd5 0.7385 0.4355 0.6525
Nd6 0.2615 0.5645 0.3475
Ag1 0.0000 0.0000 0.0000

Values from the calculation:
SG = C2/m, No. 12
magnetization = 0.000 μB/atom
energy of formation from the pure elements = -577 meV/atom
calculated total energy = -5.36 eV per atom


[6]
NdAgPd | GGA-PBE | optimized geometry

a b c (Å): 4.7549 4.7549 4.7549
angles (deg): 60.00 60.00 60.00
Element x y z (fractional)
Pd1 0.2500 0.2500 0.2500
Nd1 0.5000 0.5000 0.5000
Ag1 0.0000 0.0000 0.0000

Values from the calculation:
SG = F-43m, No. 216
magnetization = 0.000 μB/atom
energy of formation from the pure elements = -431 meV/atom
calculated total energy = -4.70 eV per atom


[7]
Nd2AgPd5 | GGA-PBE | optimized geometry

a b c (Å): 5.9405 5.9405 5.9405
angles (deg): 92.55 118.54 118.54
Element x y z (fractional)
Pd1 0.4998 0.7777 0.7777
Pd2 0.0000 0.2779 0.7777
Pd3 0.0000 0.7777 0.2779
Pd4 0.5002 0.2779 0.2779
Pd5 0.0000 0.2776 0.2776
Nd1 0.5000 0.2778 0.7778
Nd2 0.5000 0.7778 0.2778
Ag1 0.0000 0.7779 0.7779

Values from the calculation:
SG = I4/mmm, No. 139
magnetization = 0.000 μB/atom
energy of formation from the pure elements = -704 meV/atom
calculated total energy = -5.50 eV per atom


[8]
NdAgPd2 | GGA-PBE | optimized geometry

a b c (Å): 4.6471 4.6471 5.2019
angles (deg): 63.47 63.47 60.00
Element x y z (fractional)
Nd1 0.0000 0.0000 0.0000
Pd1 0.7802 0.7802 0.6595
Pd2 0.2198 0.2198 0.3405
Ag1 0.5000 0.5000 0.5000

Values from the calculation:
SG = R-3m, No. 166
magnetization = 0.000 μB/atom
energy of formation from the pure elements = -519 meV/atom
calculated total energy = -5.02 eV per atom


[9]
NdAg6Pd6 | GGA-PBE | optimized geometry

a b c (Å): 5.4086 7.1399 7.1399
angles (deg): 81.68 67.74 67.74
Element x y z (fractional)
Pd1 0.0000 0.0000 0.5000
Pd2 0.5000 0.0000 0.5000
Pd3 0.5000 0.5000 0.0000
Pd4 0.0000 0.5000 0.0000
Pd5 0.5000 0.2155 0.7845
Pd6 0.5000 0.7845 0.2155
Ag1 0.7129 0.7871 0.7871
Ag2 0.0000 0.3473 0.6527
Ag3 0.2871 0.2129 0.2129
Ag4 0.6482 0.3518 0.3518
Ag5 0.0000 0.6527 0.3473
Ag6 0.3518 0.6482 0.6482
Nd1 0.0000 0.0000 0.0000

Values from the calculation:
SG = Immm, No. 71
magnetization = 0.000 μB/atom
energy of formation from the pure elements = -200 meV/atom
calculated total energy = -4.28 eV per atom


[10]
Nd4Ag3Pd | GGA-PBE | optimized geometry

a b c (Å): 3.7164 3.7164 14.9594
angles (deg): 90.00 90.00 90.00
Element x y z (fractional)
Nd1 0.0000 0.0000 0.6278
Nd2 0.0000 0.0000 0.3722
Nd3 0.0000 0.0000 0.8841
Nd4 0.0000 0.0000 0.1159
Ag1 0.5000 0.5000 0.5000
Ag2 0.5000 0.5000 0.7540
Ag3 0.5000 0.5000 0.2460
Pd1 0.5000 0.5000 0.0000

Values from the calculation:
SG = P4/mmm, No. 123
magnetization = 0.000 μB/atom
energy of formation from the pure elements = -374 meV/atom
calculated total energy = -4.48 eV per atom


What did the fourth record say?
Nd4AgPd3 | GGA-PBE | optimized geometry

a b c (Å): 3.8957 4.7469 10.9544
angles (deg): 90.00 90.00 90.00
Element x y z (fractional)
Ag1 0.5000 0.5000 0.0796
Pd1 0.0000 0.5000 0.5855
Pd2 0.0000 0.0000 0.4158
Pd3 0.5000 0.0000 0.9166
Nd1 0.0000 0.0000 0.1401
Nd2 0.5000 0.0000 0.6371
Nd3 0.5000 0.5000 0.3708
Nd4 0.0000 0.5000 0.8544

Values from the calculation:
SG = Pmm2, No. 25
magnetization = 0.000 μB/atom
energy of formation from the pure elements = -662 meV/atom
calculated total energy = -5.35 eV per atom


Q: The highest calculated total energy belongs to which entry?
A: NdAg6Pd6